First-principles (GGA-PBE) data for a relaxed structure of Co2RuBr, as listed in Alexandria.

Structure (extended XYZ):
```
4
Lattice="4.601 0.000 0.000 -1.757 4.252 0.000 0.000 0.000 2.922" Properties=species:S:1:pos:R:3 pbc="T T T"
Ru 2.301 0.000 1.461
Co 0.000 0.000 0.000
Br -0.878 2.126 1.461
Co 1.422 2.126 0.000
```

Computed properties:
Its symmetry is Cmmm. The calculation puts the density of states at the Fermi level at 7.33 states/eV per cell. As for the total energy: -5.4340 eV/atom. As for the uncorrected formation energy: 82.6 kJ per mole of atoms. Its offset from the most stable computed form is 7.62 kcal/mol of atoms.



First-principles (GGA-PBE) data for a relaxed structure of BaPmAg2Br8, as listed in Alexandria.

Structure (extended XYZ):
```
12
Lattice="-2.925 -5.938 3.004 5.853 -0.735 4.247 -4.745 7.614 1.636" Properties=species:S:1:pos:R:3 pbc="T T T"
Br -0.138 -1.468 2.583
Br 2.168 -4.034 6.107
Br 2.439 4.123 5.430
Br 3.113 -0.069 5.521
Ag 1.464 -3.336 3.625
Ba -3.103 -0.830 4.132
Br -4.729 2.120 4.637
Br -1.003 0.903 5.901
Pm 0.000 0.000 0.000
Br -0.935 5.265 4.445
Ag 1.286 1.772 4.754
Br 0.596 2.130 2.164
```

Computed properties:
Its symmetry is I-4. The calculation puts the density of states at the Fermi level at 10.48 states/eV per cell. As for the total energy: -3.3806 eV/atom. As for the uncorrected formation energy: -119.1 kJ per mole of atoms.



First-principles (GGA-PBE) data for a relaxed structure of NaLi2Pt, as listed in Alexandria.

Structure (extended XYZ):
```
4
Lattice="2.982 0.000 0.000 0.000 4.615 0.000 0.000 0.000 4.615" Properties=species:S:1:pos:R:3 pbc="T T T"
Li 0.000 2.307 0.000
Li 0.000 0.000 2.307
Na 1.491 2.307 2.307
Pt 1.491 0.000 0.000
```

Computed properties:
Its symmetry is P4/mmm. The calculation puts the density of states at the Fermi level at 1.08 states/eV per cell. As for the total energy: -3.0318 eV/atom. The calculation puts the energy of formation from the pure elements at -235 meV/atom. Its offset from the most stable computed form is 1.24 kcal/mol of atoms.



First-principles (GGA-PBE) data for a relaxed structure of Ho4PdI5, as listed in Alexandria.

Structure (extended XYZ):
```
10
Lattice="4.129 0.000 0.000 0.000 8.896 -0.395 -2.065 -1.661 9.600" Properties=species:S:1:pos:R:3 pbc="T T T"
Ho 2.065 0.182 2.732
I 2.065 4.448 -0.198
I 2.065 0.424 6.100
Ho 0.000 7.053 6.473
Ho 2.065 5.417 9.263
I 0.000 6.811 3.105
I 2.065 4.746 6.107
I 0.000 2.489 3.098
Ho 0.000 1.818 -0.058
Pd 2.065 0.000 0.000
```

Computed properties:
Its symmetry is C2/m. The calculation puts the density of states at the Fermi level at 4.16 states/eV per cell. As for the total energy: -4.2164 eV/atom. As for the uncorrected formation energy: -105.3 kJ per mole of atoms.



First-principles (GGA-PBE) data for a relaxed structure of HoNiIr, as listed in Alexandria.

Structure (extended XYZ):
```
6
Lattice="-3.386 -1.524 2.936 -0.900 -1.220 -4.520 4.870 -2.736 1.545" Properties=species:S:1:pos:R:3 pbc="T T T"
Ho -1.635 -2.694 -1.883
Ir 3.118 -2.669 -0.890
Ho 2.219 -2.786 1.844
Ni 0.292 -2.740 -0.019
Ni 0.000 0.000 0.000
Ir -2.534 -2.811 0.851
```

Computed properties:
Its symmetry is P-1. The calculation puts the density of states at the Fermi level at 5.67 states/eV per cell. As for the total energy: -6.7756 eV/atom. The calculation puts the energy of formation from the pure elements at -369 meV/atom.



First-principles (GGA-PBE) data for a relaxed structure of LaPr4Er4, as listed in Alexandria.

Structure (extended XYZ):
```
9
Lattice="4.864 0.000 1.647 2.432 7.702 0.824 -0.038 0.000 8.119" Properties=species:S:1:pos:R:3 pbc="T T T"
Er 5.661 2.604 7.301
Pr 2.394 2.596 8.942
Er 4.029 2.603 4.113
Pr 4.864 5.106 1.648
Pr 5.659 7.702 7.307
Er 1.597 5.099 3.289
Pr 1.599 0.000 3.283
Er 3.229 5.099 6.477
La 0.000 0.000 0.000
```

Computed properties:
Its symmetry is I4/mmm. The calculation puts the density of states at the Fermi level at 14.18 states/eV per cell. As for the total energy: -4.6741 eV/atom. The calculation puts the energy of formation from the pure elements at 26 meV/atom. Its offset from the most stable computed form is 0.00 kcal/mol of atoms.



First-principles (GGA-PBE) data for a relaxed structure of Fe2SbOs, as listed in Alexandria.

Structure (extended XYZ):
```
4
Lattice="8.462 0.017 0.010 7.963 2.864 0.010 7.963 1.397 2.500" Properties=species:S:1:pos:R:3 pbc="T T T"
Fe 24.297 4.262 2.511
Os 6.097 1.069 0.630
Sb 18.291 3.208 1.890
Fe 12.286 2.155 1.270
```

Computed properties:
Its symmetry is R-3m. The calculation puts the density of states at the Fermi level at 3.45 states/eV per cell. As for the total energy: -7.5509 eV/atom. As for the uncorrected formation energy: 50.0 kJ per mole of atoms.



First-principles (GGA-PBE) data for a relaxed structure of PuMgFeOs, as listed in Alexandria.

Structure (extended XYZ):
```
4
Lattice="4.578 0.000 0.000 2.289 3.964 0.000 2.289 1.321 3.738" Properties=species:S:1:pos:R:3 pbc="T T T"
Os 0.000 0.000 0.000
Fe 4.578 2.643 1.869
Pu 6.866 3.964 2.803
Mg 2.289 1.321 0.934
```

Computed properties:
Its symmetry is F-43m. The calculation puts the density of states at the Fermi level at 5.19 states/eV per cell. As for the total energy: -8.8356 eV/atom. The calculation puts the energy of formation from the pure elements at 69 meV/atom.